## BeHg2I (PBE-GGA)

Data for a geometry-optimized BeHg2I structure. Values from VASP.

Geometry as Quantum ESPRESSO input:
```
&SYSTEM
  ibrav = 0, nat = 4, ntyp = 3
/
ATOMIC_SPECIES
Hg 200.59 Hg.upf
I 126.90 I.upf
Be 9.01 Be.upf
ATOMIC_POSITIONS crystal
Hg 0.250 0.250 0.250
Hg 0.750 0.750 0.750
I 0.500 0.500 0.500
Be 0.000 0.000 0.000
CELL_PARAMETERS angstrom
0.000 3.827 3.827
3.827 0.000 3.827
3.827 3.827 0.000
```

Crystal system: cubic
E_form (uncorrected) (eV/atom): 0.729
Relative energy among the computed polymorphs (meV per atom): 510